Here is a relaxed RbCu2Os crystal from the Alexandria database. Energies are from GGA-PBE.

Unit cell a=8.9699 b=8.9699 c=8.9699 alpha=146.48 beta=146.48 gamma=48.14
Element x y z (fractional)
Rb 0.3750 0.6250 0.7500
Rb 0.6250 0.3750 0.2500
Cu 0.0000 0.0000 0.0000
Cu 0.0000 0.0000 0.5000
Cu 0.0000 0.5000 0.0000
Cu 0.5000 0.0000 0.5000
Os 0.1250 0.8750 0.2500
Os 0.8750 0.1250 0.7500

- calculated density (Mg/m³) = 6.10
- SG = I4_1/amd
- excess energy over the best structure of this formula in the dataset (eV per atom) = 0.000
- energy of formation (eV per atom) = 1.18

***

Here is a relaxed Rb3CuOs crystal from the Alexandria database. Energies are from GGA-PBE.

Unit cell a=6.4158 b=6.4158 c=6.4158 alpha=90.00 beta=90.00 gamma=90.00
Element x y z (fractional)
Rb 0.0000 0.0000 0.5000
Rb 0.0000 0.5000 0.0000
Rb 0.5000 0.0000 0.0000
Cu 0.5000 0.5000 0.5000
Os 0.0000 0.0000 0.0000

- calculated density (Mg/m³) = 3.21
- SG = Pm-3m
- excess energy over the best structure of this formula in the dataset (eV per atom) = 0.000
- energy of formation (eV per atom) = 1.35

***

Here is a relaxed RbCu2Os crystal from the Alexandria database. Energies are from GGA-PBE.

Unit cell a=4.7618 b=4.7618 c=4.7618 alpha=60.00 beta=60.00 gamma=60.00
Element x y z (fractional)
Rb 0.0000 0.0000 0.0000
Cu 0.2500 0.2500 0.2500
Cu 0.7500 0.7500 0.7500
Os 0.5000 0.5000 0.5000

- calculated density (Mg/m³) = 8.76
- SG = Fm-3m
- excess energy over the best structure of this formula in the dataset (eV per atom) = 0.350
- energy of formation (eV per atom) = 1.53

***

Here is a relaxed RbCuOs2 crystal from the Alexandria database. Energies are from GGA-PBE.

Unit cell a=4.6181 b=4.6181 c=4.6181 alpha=60.00 beta=60.00 gamma=60.00
Element x y z (fractional)
Rb 0.0000 0.0000 0.0000
Cu 0.5000 0.5000 0.5000
Os 0.2500 0.2500 0.2500
Os 0.7500 0.7500 0.7500

- calculated density (Mg/m³) = 12.62
- SG = Fm-3m
- excess energy over the best structure of this formula in the dataset (eV per atom) = 0.792
- energy of formation (eV per atom) = 2.32

***

Here is a relaxed Rb2CuOsS4 crystal from the Alexandria database. Energies are from GGA-PBE.

Unit cell a=13.5324 b=12.1111 c=7.2997 alpha=84.54 beta=62.99 gamma=32.48
Element x y z (fractional)
Rb 0.0541 0.0541 0.6959
Rb 0.3041 0.3041 0.9459
Rb 0.6959 0.6959 0.0541
Rb 0.9459 0.9459 0.3041
Cu 0.1250 0.1250 0.1250
Cu 0.8750 0.8750 0.8750
Os 0.3750 0.3750 0.3750
Os 0.6250 0.6250 0.6250
S 0.0101 0.3440 0.4255
S 0.2796 0.5745 0.6560
S 0.3440 0.0101 0.7204
S 0.4255 0.7204 0.0101
S 0.5745 0.2796 0.9899
S 0.6560 0.9899 0.2796
S 0.7204 0.4255 0.3440
S 0.9899 0.6560 0.5745

- calculated density (Mg/m³) = 4.02
- formation energy without anion corrections (kcal/mol of atoms) = -12.5
- SG = Fddd

***

Here is a relaxed RbCuSi2Os crystal from the Alexandria database. Energies are from GGA-PBE.

Unit cell a=4.6245 b=4.6245 c=4.9952 alpha=90.00 beta=90.00 gamma=90.00
Element x y z (fractional)
Rb 0.0000 0.0000 0.0000
Cu 0.5000 0.5000 0.5000
Si 0.0000 0.5000 0.5000
Si 0.5000 0.0000 0.5000
Os 0.5000 0.5000 0.0000

- calculated density (Mg/m³) = 6.15
- formation energy without anion corrections (kcal/mol of atoms) = 30.1
- SG = P4/mmm

***

Here is a relaxed RbCuTc2Os crystal from the Alexandria database. Energies are from GGA-PBE.

Unit cell a=4.6560 b=4.6560 c=4.4955 alpha=90.00 beta=90.00 gamma=90.00
Element x y z (fractional)
Rb 0.0000 0.0000 0.0000
Cu 0.0000 0.0000 0.5000
Tc 0.0000 0.5000 0.0000
Tc 0.5000 0.0000 0.0000
Os 0.5000 0.5000 0.5000

- calculated density (Mg/m³) = 9.12
- SG = P4/mmm
- energy of formation (eV per atom) = 3.44

***

Here is a relaxed CuReOs3 crystal from the Alexandria database. Energies are from GGA-PBE.

Unit cell a=4.3461 b=4.3461 c=4.3461 alpha=90.00 beta=90.00 gamma=90.00
Element x y z (fractional)
Cu 0.0000 0.0000 0.0000
Re 0.5000 0.5000 0.5000
Os 0.0000 0.0000 0.5000
Os 0.0000 0.5000 0.0000
Os 0.5000 0.0000 0.0000

- calculated density (Mg/m³) = 16.60
- SG = Pm-3m
- excess energy over the best structure of this formula in the dataset (eV per atom) = 0.000
- energy of formation (eV per atom) = 2.15

***

Here is a relaxed Cu2ReOs crystal from the Alexandria database. Energies are from GGA-PBE.

Unit cell a=4.2534 b=4.2534 c=4.2534 alpha=60.00 beta=60.00 gamma=60.00
Element x y z (fractional)
Cu 0.0000 0.0000 0.0000
Cu 0.2500 0.2500 0.2500
Re 0.7500 0.7500 0.7500
Os 0.5000 0.5000 0.5000

- calculated density (Mg/m³) = 15.37
- SG = F-43m
- excess energy over the best structure of this formula in the dataset (eV per atom) = 0.144
- energy of formation (eV per atom) = 0.36

***

Here is a relaxed Cu2ReOs crystal from the Alexandria database. Energies are from GGA-PBE.

Unit cell a=4.2036 b=4.2036 c=4.2036 alpha=60.00 beta=60.00 gamma=60.00
Element x y z (fractional)
Cu 0.2500 0.2500 0.2500
Cu 0.7500 0.7500 0.7500
Re 0.0000 0.0000 0.0000
Os 0.5000 0.5000 0.5000

- calculated density (Mg/m³) = 15.92
- SG = Fm-3m
- excess energy over the best structure of this formula in the dataset (eV per atom) = 0.344
- energy of formation (eV per atom) = 0.56

***

Here is a relaxed Cu2ReOs crystal from the Alexandria database. Energies are from GGA-PBE.

Unit cell a=4.2938 b=4.2938 c=2.8544 alpha=90.00 beta=90.00 gamma=90.00
Element x y z (fractional)
Cu 0.0000 0.5000 0.0000
Cu 0.5000 0.0000 0.0000
Re 0.0000 0.0000 0.5000
Os 0.5000 0.5000 0.5000

- calculated density (Mg/m³) = 15.89
- SG = P4/mmm
- excess energy over the best structure of this formula in the dataset (eV per atom) = 0.355
- energy of formation (eV per atom) = 0.57

***

Here is a relaxed Cu4ReOs crystal from the Alexandria database. Energies are from GGA-PBE.

Unit cell a=4.7233 b=4.7233 c=4.7233 alpha=60.00 beta=60.00 gamma=60.00
Element x y z (fractional)
Cu 0.1250 0.1250 0.1250
Cu 0.1250 0.1250 0.6250
Cu 0.1250 0.6250 0.1250
Cu 0.6250 0.1250 0.1250
Re 0.5000 0.5000 0.5000
Os 0.7500 0.7500 0.7500

- calculated density (Mg/m³) = 14.05
- SG = F-43m
- energy of formation (eV per atom) = 0.32

***

| no. | total magnetic moment (μB per cell) |
| --- | --- |
| 1 | 4.362 |
| 2 | 2.000 |
| 3 | 2.141 |
| 4 | 2.841 |
| 5 | 0.887 |
| 6 | 1.985 |
| 7 | 2.923 |
| 8 | 0.135 |
| 9 | 0.000 |
| 10 | 0.000 |
| 11 | 0.000 |
| 12 | 0.000 |